Entry from the Alexandria database: a relaxed structure of Ce2IBr2 (PBE).

a = 13.084 Å, b = 5.918 Å, c = 8.773 Å
α = 90.00°, β = 108.98°, γ = 90.00°
Space group C2/m (No. 12)
Symmetry-distinct sites (fractional):
Ce 0.011 0.000 0.292 [4 per cell]
Ce 0.154 0.500 0.570 [4 per cell]
I 0.167 0.000 0.077 [4 per cell]
Br 0.002 0.500 0.769 [4 per cell]
Br 0.188 0.000 0.616 [4 per cell]

Output
As for the total energy: -4.643 eV/atom. The density of states at the Fermi level comes out at 12.9 states/eV/f.u.



Entry from the Alexandria database: a relaxed structure of Sr2Fe2Ag (PBE).

a = 6.019 Å, b = 6.019 Å, c = 7.526 Å
α = 90.00°, β = 90.00°, γ = 90.00°
Space group I4/mmm (No. 139)
Symmetry-distinct sites (fractional):
Sr 0.000 0.500 0.250 [4 per cell]
Fe 0.000 0.000 0.139 [4 per cell]
Ag 0.000 0.000 0.500 [2 per cell]

Output
As for the total energy: -4.079 eV/atom. The density of states at the Fermi level comes out at 4.3 states/eV/f.u. The formation enthalpy at 0 K is 0.5489 eV per atom. As for the excess energy over the best structure of this formula in the dataset: 0.70 eV/f.u.



Entry from the Alexandria database: a relaxed structure of CaAc8Pr5 (PBE).

a = 10.451 Å, b = 10.451 Å, c = 11.025 Å
α = 90.00°, β = 90.00°, γ = 90.00°
Space group I-4 (No. 82)
Symmetry-distinct sites (fractional):
Ca 0.000 0.000 0.000 [2 per cell]
Ac 0.071 0.175 0.654 [8 per cell]
Ac 0.089 0.322 0.996 [8 per cell]
Pr 0.000 0.500 0.750 [2 per cell]
Pr 0.103 0.299 0.322 [8 per cell]

Output
As for the total energy: -3.979 eV/atom. The density of states at the Fermi level comes out at 22.3 states/eV/f.u. The formation enthalpy at 0 K is 0.2190 eV per atom.



Entry from the Alexandria database: a relaxed structure of Dy6HoTe8 (PBE).

a = 12.261 Å, b = 12.261 Å, c = 12.261 Å
α = 90.00°, β = 90.00°, γ = 90.00°
Space group Fm-3m (No. 225)
Symmetry-distinct sites (fractional):
Dy 0.000 0.250 0.250 [24 per cell]
Ho 0.000 0.000 0.000 [4 per cell]
Te 0.000 0.000 0.255 [24 per cell]
Te 0.250 0.250 0.250 [8 per cell]

Output
As for the total energy: -5.180 eV/atom. The density of states at the Fermi level comes out at 6.7 states/eV/f.u.



Entry from the Alexandria database: a relaxed structure of La6MgTl (PBE).

a = 5.888 Å, b = 5.888 Å, c = 7.684 Å
α = 90.00°, β = 90.00°, γ = 90.00°
Space group P4/mmm (No. 123)
Symmetry-distinct sites (fractional):
La 0.000 0.000 0.000 [1 per cell]
La 0.000 0.000 0.500 [1 per cell]
La 0.000 0.500 0.248 [4 per cell]
Mg 0.500 0.500 0.500 [1 per cell]
Tl 0.500 0.500 0.000 [1 per cell]

Output
As for the total energy: -4.275 eV/atom. The density of states at the Fermi level comes out at 11.9 states/eV/f.u. The formation enthalpy at 0 K is -0.0840 eV per atom. As for the excess energy over the best structure of this formula in the dataset: 0.00 eV/f.u.



Entry from the Alexandria database: a relaxed structure of BeTlPt2 (PBE).

a = 4.063 Å, b = 4.063 Å, c = 3.863 Å
α = 90.00°, β = 90.00°, γ = 90.00°
Space group P4/mmm (No. 123)
Symmetry-distinct sites (fractional):
Be 0.000 0.000 0.000 [1 per cell]
Tl 0.500 0.500 0.000 [1 per cell]
Pt 0.000 0.500 0.500 [2 per cell]

Output
As for the total energy: -4.558 eV/atom. The density of states at the Fermi level comes out at 1.2 states/eV/f.u. The formation enthalpy at 0 K is -0.0144 eV per atom. As for the excess energy over the best structure of this formula in the dataset: 1.12 eV/f.u.



Entry from the Alexandria database: a relaxed structure of SrVH2 (PBE).

a = 6.235 Å, b = 6.235 Å, c = 6.235 Å
α = 90.00°, β = 90.00°, γ = 90.00°
Space group Fm-3m (No. 225)
Symmetry-distinct sites (fractional):
Sr 0.000 0.000 0.000 [4 per cell]
V 0.000 0.000 0.500 [4 per cell]
H 0.250 0.250 0.250 [8 per cell]

Output
As for the total energy: -3.821 eV/atom. The density of states at the Fermi level comes out at 1.9 states/eV/f.u. As for the excess energy over the best structure of this formula in the dataset: 1.60 eV/f.u.



Entry from the Alexandria database: a relaxed structure of Sm5Pt2Rh2 (PBE).

a = 14.966 Å, b = 7.648 Å, c = 7.647 Å
α = 90.00°, β = 90.00°, γ = 90.00°
Space group Cmce (No. 64)
Symmetry-distinct sites (fractional):
Sm 0.000 0.000 0.000 [4 per cell]
Sm 0.136 0.172 0.334 [16 per cell]
Pt 0.203 0.000 0.000 [8 per cell]
Rh 0.000 0.131 0.630 [8 per cell]

Output
As for the total energy: -6.483 eV/atom. The density of states at the Fermi level comes out at 4.9 states/eV/f.u. The formation enthalpy at 0 K is -0.8850 eV per atom.



Entry from the Alexandria database: a relaxed structure of K4Rb2GaP2 (PBE).

a = 22.677 Å, b = 9.442 Å, c = 4.963 Å
α = 90.00°, β = 90.08°, γ = 90.00°
Space group C2/m (No. 12)
Symmetry-distinct sites (fractional):
K 0.099 0.225 0.499 [8 per cell]
Rb 0.245 0.000 0.000 [4 per cell]
Ga 0.000 0.000 0.000 [2 per cell]
P 0.096 0.000 0.999 [4 per cell]

Output
As for the total energy: -2.443 eV/atom. The density of states at the Fermi level comes out at 4.3 states/eV/f.u. The formation enthalpy at 0 K is -0.2021 eV per atom.



Entry from the Alexandria database: a relaxed structure of Tb5Sm4Mg (PBE).

a = 10.676 Å, b = 10.676 Å, c = 5.805 Å
α = 90.00°, β = 90.00°, γ = 90.00°
Space group I4mm (No. 107)
Symmetry-distinct sites (fractional):
Tb 0.000 0.000 0.000 [2 per cell]
Tb 0.185 0.185 0.286 [8 per cell]
Sm 0.000 0.318 0.798 [8 per cell]
Mg 0.000 0.000 0.521 [2 per cell]

Output
As for the total energy: -4.176 eV/atom. The density of states at the Fermi level comes out at 11.8 states/eV/f.u. The formation enthalpy at 0 K is 0.1865 eV per atom. As for the excess energy over the best structure of this formula in the dataset: 0.89 eV/f.u.



Entry from the Alexandria database: a relaxed structure of LaGa9Co2 (PBE).

a = 7.8903 Å, b = 7.8903 Å, c = 3.8723 Å
α = 90.00°, β = 90.00°, γ = 120.00°
Space group P6/mmm (No. 191)
Symmetry-distinct sites (fractional):
La 0.0000 0.0000 0.0000 [1 per cell]
Ga 0.0000 0.5000 0.0000 [3 per cell]
Ga 0.2070 0.4140 0.5000 [6 per cell]
Co 0.3333 0.6667 0.0000 [2 per cell]

Output
As for the total energy: -4.205 eV/atom. The density of states at the Fermi level comes out at 4.8 states/eV/f.u. The formation enthalpy at 0 K is -0.3400 eV per atom. As for the excess energy over the best structure of this formula in the dataset: 0.00 eV/f.u.



Entry from the Alexandria database: a relaxed structure of TiPtS2N (PBE).

a = 4.893 Å, b = 4.893 Å, c = 3.663 Å
α = 90.00°, β = 90.00°, γ = 90.00°
Space group P4/mmm (No. 123)
Symmetry-distinct sites (fractional):
Ti 0.000 0.000 0.000 [1 per cell]
Pt 0.500 0.500 0.500 [1 per cell]
S 0.000 0.500 0.500 [2 per cell]
N 0.500 0.500 0.000 [1 per cell]

Output
As for the total energy: -5.590 eV/atom. The density of states at the Fermi level comes out at 8.0 states/eV/f.u. As for the excess energy over the best structure of this formula in the dataset: 0.82 eV/f.u.